a | The following is a DFT calculation (PBE) of a relaxed structure of CoCu2Cl.

```
CoCu2Cl
1.0
5.605 -1.388 0.000
5.605 1.388 0.000
-0.881 0.000 3.690
Co Cu Cl
1 2 1
Cartesian
0.000 0.000 0.000 Co
2.590 0.000 2.893 Cu
7.740 0.000 0.797 Cu
5.165 0.000 1.845 Cl
```

Results
* N(E_F): 4.72 states/eV/cell
* crystal system: monoclinic
* total magnetic moment: 1.5 μB per cell

***

b | The following is a DFT calculation (PBE) of a relaxed structure of CoCu2Cl.

```
CoCu2Cl
1.0
0.000 3.058 3.058
3.058 0.000 3.058
3.058 3.058 0.000
Co Cu Cl
1 2 1
Cartesian
0.000 0.000 0.000 Co
1.529 1.529 1.529 Cu
4.588 4.588 4.588 Cu
3.058 3.058 3.058 Cl
```

Results
* N(E_F): 1.68 states/eV/cell
* crystal system: cubic
* total magnetic moment: 1.8 μB per cell

***

c | The following is a DFT calculation (PBE) of a relaxed structure of CoCu2Cl.

```
CoCu2Cl
1.0
0.000 3.013 3.013
3.013 0.000 3.013
3.013 3.013 0.000
Co Cu Cl
1 2 1
Cartesian
0.000 0.000 0.000 Co
1.507 1.507 1.507 Cu
3.013 3.013 3.013 Cu
4.520 4.520 4.520 Cl
```

Results
* N(E_F): 5.42 states/eV/cell
* crystal system: cubic
* total magnetic moment: 1.6 μB per cell

***

Name the most stable of them. a.

***

a | The following is a DFT calculation (PBE) of a relaxed structure of Co3CuCl.

```
Co3CuCl
1.0
4.078 0.000 0.000
0.000 4.078 0.000
0.000 0.000 4.078
Co Cu Cl
3 1 1
Cartesian
0.000 0.000 2.039 Co
0.000 2.039 0.000 Co
2.039 0.000 0.000 Co
2.039 2.039 2.039 Cu
0.000 0.000 0.000 Cl
```

Results
* N(E_F): 7.90 states/eV/cell
* crystal system: cubic
* total magnetic moment: 3.0 μB per cell

***

b | The following is a DFT calculation (PBE) of a relaxed structure of Co3CuCl.

```
Co3CuCl
1.0
4.456 0.000 0.000
0.000 4.456 0.000
0.000 0.000 4.456
Co Cu Cl
3 1 1
Cartesian
0.000 0.000 2.228 Co
0.000 2.228 0.000 Co
2.228 0.000 0.000 Co
0.000 0.000 0.000 Cu
2.228 2.228 2.228 Cl
```

Results
* N(E_F): 10.54 states/eV/cell
* crystal system: cubic
* total magnetic moment: 5.8 μB per cell

***

Name the most stable of them. a.

***

a | The following is a DFT calculation (PBE) of a relaxed structure of CoCu2Cl6.

```
CoCu2Cl6
1.0
6.828 -5.475 0.000
6.828 5.475 0.000
-0.606 0.000 5.933
Co Cu Cl
2 4 12
Cartesian
6.373 4.639 4.450 Co
6.676 -4.639 1.483 Co
4.924 1.061 4.373 Cu
5.227 -1.061 1.407 Cu
7.822 1.061 4.526 Cu
8.125 -1.061 1.559 Cu
0.879 0.742 3.497 Cl
4.895 3.085 5.175 Cl
1.182 -0.742 0.531 Cl
4.862 0.961 2.154 Cl
7.851 3.085 3.724 Cl
4.559 -0.961 5.121 Cl
8.490 0.961 0.812 Cl
5.198 -3.085 2.209 Cl
8.187 -0.961 3.778 Cl
11.867 0.742 5.402 Cl
8.154 -3.085 0.758 Cl
12.170 -0.742 2.436 Cl
```

Results
* N(E_F): 13.48 states/eV/cell
* crystal system: monoclinic
* total magnetic moment: 1.9 μB per cell

***

b | The following is a DFT calculation (PBE) of a relaxed structure of CoCu2Cl6.

```
CoCu2Cl6
1.0
6.620 -6.529 0.000
6.620 6.529 0.000
-2.726 0.000 5.934
Co Cu Cl
2 4 12
Cartesian
4.576 3.787 4.451 Co
5.939 -3.787 1.484 Co
2.082 0.923 3.639 Cu
3.445 -0.923 0.672 Cu
7.070 0.923 5.263 Cu
8.433 -0.923 2.296 Cu
4.036 5.048 2.743 Cl
2.865 2.549 5.070 Cl
7.841 5.048 0.225 Cl
3.306 1.024 1.770 Cl
1.943 -1.024 4.737 Cl
6.287 2.549 3.832 Cl
4.228 -2.549 2.102 Cl
8.571 1.024 1.197 Cl
7.208 -1.024 4.164 Cl
2.673 -5.048 5.710 Cl
7.650 -2.549 0.865 Cl
6.478 -5.048 3.192 Cl
```

Results
* N(E_F): 15.59 states/eV/cell
* crystal system: monoclinic
* total magnetic moment: 10.1 μB per cell

***

Name the most stable of them. b.

***

a | The following is a DFT calculation (PBE) of a relaxed structure of CoCu2Cl4.

```
CoCu2Cl4
1.0
-2.723 2.723 5.254
2.723 -2.723 5.254
2.723 2.723 -5.254
Co Cu Cl
1 2 4
Cartesian
0.000 0.000 0.000 Co
2.723 0.000 2.627 Cu
0.000 2.723 2.627 Cu
1.414 -1.414 3.934 Cl
1.309 1.309 1.319 Cl
-1.414 1.414 3.934 Cl
1.414 1.414 6.573 Cl
```

Results
* crystal system: tetragonal
* total magnetic moment: 3.0 μB per cell

***

b | The following is a DFT calculation (PBE) of a relaxed structure of CoCu2Cl4.

```
CoCu2Cl4
1.0
-2.815 2.815 5.497
2.815 -2.815 5.497
2.815 2.815 -5.497
Co Cu Cl
1 2 4
Cartesian
0.000 0.000 0.000 Co
2.815 0.000 0.000 Cu
0.000 2.815 0.000 Cu
1.351 1.351 -1.258 Cl
1.464 -1.464 6.755 Cl
1.464 1.464 4.239 Cl
-1.464 1.464 6.755 Cl
```

Results
* crystal system: tetragonal
* total magnetic moment: 3.0 μB per cell

***

Name the most stable of them. a.

***

a | The following is a DFT calculation (PBE) of a relaxed structure of CoCuCl3.

```
CoCuCl3
1.0
6.985 -1.875 0.000
6.985 1.875 0.000
-1.405 0.000 9.381
Co Cu Cl
2 2 6
Cartesian
1.033 0.000 3.073 Co
11.531 0.000 6.309 Co
4.632 0.000 2.530 Cu
7.932 0.000 6.851 Cu
-0.375 0.000 7.272 Cl
2.635 0.000 1.553 Cl
4.408 0.000 4.971 Cl
8.157 0.000 4.411 Cl
9.929 0.000 7.829 Cl
12.940 0.000 2.109 Cl
```

Results
* N(E_F): 0.96 states/eV/cell
* crystal system: monoclinic
* total magnetic moment: 6.0 μB per cell

***

b | The following is a DFT calculation (PBE) of a relaxed structure of CoCuCl3.

```
CoCuCl3
1.0
4.652 0.000 0.000
0.000 4.652 0.000
0.000 0.000 4.652
Co Cu Cl
1 1 3
Cartesian
0.000 0.000 0.000 Co
2.326 2.326 2.326 Cu
0.000 0.000 2.326 Cl
0.000 2.326 0.000 Cl
2.326 0.000 0.000 Cl
```

Results
* N(E_F): 8.90 states/eV/cell
* crystal system: cubic
* total magnetic moment: 1.9 μB per cell

***

Name the most stable of them. a.

***

a | The following is a DFT calculation (PBE) of a relaxed structure of CoCuP2Cl.

```
CoCuP2Cl
1.0
4.032 0.000 0.000
0.000 4.032 0.000
0.000 0.000 7.517
Co Cu P Cl
1 1 2 1
Cartesian
0.000 0.000 0.000 Co
2.016 2.016 3.758 Cu
0.000 2.016 0.000 P
2.016 0.000 0.000 P
0.000 0.000 3.758 Cl
```

Results
* N(E_F): 2.31 states/eV/cell
* crystal system: tetragonal
* total magnetic moment: 0.0 μB per cell

***

b | The following is a DFT calculation (PBE) of a relaxed structure of CoCuP2Cl.

```
CoCuP2Cl
1.0
4.343 0.000 0.000
0.000 4.343 0.000
0.000 0.000 5.181
Co Cu P Cl
1 1 2 1
Cartesian
0.000 0.000 0.000 Co
2.172 2.172 2.591 Cu
0.000 2.172 2.591 P
2.172 0.000 2.591 P
2.172 2.172 0.000 Cl
```

Results
* N(E_F): 5.05 states/eV/cell
* crystal system: tetragonal
* total magnetic moment: 2.3 μB per cell

***

Name the most stable of them. a.